# LiTlSb (PBE, relaxed)
# total magnetization = 0.0 μB per cell
# E_form (uncorrected) = -0.24 eV per atom
# DOS at the Fermi energy = 1.00 states/eV per cell
# uncorrected energy = -36.47 eV per cell
# distance to the lowest polymorph of the same formula = 16 meV/atom
data_LiTlSb
_chemical_formula_sum 'Li4 Tl4 Sb4'
_symmetry_space_group_name_H-M 'P 1'
_symmetry_Int_Tables_number 1
_cell_length_a 8.300
_cell_length_b 4.866
_cell_length_c 8.511
_cell_angle_alpha 90.00
_cell_angle_beta 101.72
_cell_angle_gamma 90.00
loop_
_symmetry_equiv_pos_as_xyz
'x,y,z'
loop_
_atom_site_label
_atom_site_fract_x
_atom_site_fract_y
_atom_site_fract_z
Li1 0.058 0.000 0.891
Li2 0.058 0.500 0.391
Li3 0.948 0.500 0.029
Li4 0.948 0.000 0.529
Sb1 0.759 0.500 0.541
Sb2 0.103 0.000 0.232
Sb3 0.759 0.000 0.041
Sb4 0.103 0.500 0.732
Tl1 0.345 0.000 0.623
Tl2 0.586 0.000 0.334
Tl3 0.345 0.500 0.123
Tl4 0.586 0.500 0.834